Ba2P4Pd5, relaxed, DFT GGA-PBE; DOS(E_F) = 3.016 states/eV/f.u.; raw total energy = -5.38 eV per atom; offset from the most stable computed form = 0.5 kJ/mol of atoms; total magnetization = 0.0 μB/cell; crystal system = triclinic
1.0
5.859 0.000 0.000
-1.735 5.598 0.000
-1.645 -3.095 7.080
Ba P Pd
2 4 5
Direct
0.064 0.249 0.314 Ba
0.936 0.751 0.686 Ba
0.329 0.816 0.145 P
0.398 0.320 0.717 P
0.602 0.680 0.283 P
0.671 0.184 0.855 P
0.100 0.374 0.876 Pd
0.497 0.224 0.124 Pd
0.500 0.000 0.500 Pd
0.503 0.776 0.876 Pd
0.900 0.626 0.124 Pd